[1]
# Ac3Nd6Ho2 PBE-GGA optimized geometry
data_Ac3Nd6Ho2
_chemical_formula_sum 'Ac3 Nd6 Ho2'
_symmetry_space_group_name_H-M 'P 1'
_symmetry_Int_Tables_number 1
_cell_length_a 33.432
_cell_length_b 33.432
_cell_length_c 33.432
_cell_angle_alpha 6.43
_cell_angle_beta 6.43
_cell_angle_gamma 6.43
loop_
_symmetry_equiv_pos_as_xyz
'x,y,z'
loop_
_atom_site_label
_atom_site_fract_x
_atom_site_fract_y
_atom_site_fract_z
Ac1 0.000 0.000 0.000
Ac2 0.271 0.271 0.271
Ac3 0.729 0.729 0.729
Nd1 0.094 0.094 0.094
Nd2 0.182 0.182 0.182
Nd3 0.365 0.365 0.365
Nd4 0.635 0.635 0.635
Nd5 0.818 0.818 0.818
Nd6 0.906 0.906 0.906
Ho1 0.456 0.456 0.456
Ho2 0.544 0.544 0.544
# * final energy: -4.511 eV per atom
# * ΔH_f (0 K): 0.04 eV per atom

---

[2]
# ZrSc2Tl PBE-GGA optimized geometry
data_ZrSc2Tl
_chemical_formula_sum 'Zr1 Sc2 Tl1'
_symmetry_space_group_name_H-M 'P 1'
_symmetry_Int_Tables_number 1
_cell_length_a 3.417
_cell_length_b 4.353
_cell_length_c 6.290
_cell_angle_alpha 90.00
_cell_angle_beta 90.00
_cell_angle_gamma 90.00
loop_
_symmetry_equiv_pos_as_xyz
'x,y,z'
loop_
_atom_site_label
_atom_site_fract_x
_atom_site_fract_y
_atom_site_fract_z
Zr1 0.000 0.000 0.000
Sc1 0.000 0.000 0.490
Sc2 0.500 0.500 0.232
Tl1 0.500 0.500 0.738
# * final energy: -6.015 eV per atom
# * polymorph energy (0 for the lowest one): 47 meV per atom
# * ΔH_f (0 K): -0.12 eV per atom

---

[3]
# NaLa3Ta PBE-GGA optimized geometry
data_NaLa3Ta
_chemical_formula_sum 'Na1 La3 Ta1'
_symmetry_space_group_name_H-M 'P 1'
_symmetry_Int_Tables_number 1
_cell_length_a 5.790
_cell_length_b 5.790
_cell_length_c 5.790
_cell_angle_alpha 90.00
_cell_angle_beta 90.00
_cell_angle_gamma 90.00
loop_
_symmetry_equiv_pos_as_xyz
'x,y,z'
loop_
_atom_site_label
_atom_site_fract_x
_atom_site_fract_y
_atom_site_fract_z
Na1 0.000 0.000 0.000
La1 0.000 0.500 0.500
La2 0.500 0.000 0.500
La3 0.500 0.500 0.000
Ta1 0.500 0.500 0.500
# * final energy: -5.129 eV per atom
# * polymorph energy (0 for the lowest one): 0 meV per atom
# * ΔH_f (0 K): 0.46 eV per atom

---

[4]
# Pm3Mg6Cd2 PBE-GGA optimized geometry
data_Pm3Mg6Cd2
_chemical_formula_sum 'Pm3 Mg6 Cd2'
_symmetry_space_group_name_H-M 'P 1'
_symmetry_Int_Tables_number 1
_cell_length_a 17.395
_cell_length_b 17.395
_cell_length_c 17.395
_cell_angle_alpha 165.98
_cell_angle_beta 165.98
_cell_angle_gamma 19.87
loop_
_symmetry_equiv_pos_as_xyz
'x,y,z'
loop_
_atom_site_label
_atom_site_fract_x
_atom_site_fract_y
_atom_site_fract_z
Pm1 0.000 0.000 0.000
Pm2 0.169 0.169 0.000
Pm3 0.831 0.831 0.000
Mg1 0.080 0.580 0.500
Mg2 0.272 0.272 0.000
Mg3 0.420 0.920 0.500
Mg4 0.580 0.080 0.500
Mg5 0.728 0.728 0.000
Mg6 0.920 0.420 0.500
Cd1 0.359 0.359 0.000
Cd2 0.641 0.641 0.000
# * final energy: -2.323 eV per atom
# * ΔH_f (0 K): 0.01 eV per atom

---

[5]
# Ac3PmP2N6 PBE-GGA optimized geometry
data_Ac3PmP2N6
_chemical_formula_sum 'Ac3 Pm1 P2 N6'
_symmetry_space_group_name_H-M 'P 1'
_symmetry_Int_Tables_number 1
_cell_length_a 5.913
_cell_length_b 5.913
_cell_length_c 6.802
_cell_angle_alpha 90.00
_cell_angle_beta 90.00
_cell_angle_gamma 120.00
loop_
_symmetry_equiv_pos_as_xyz
'x,y,z'
loop_
_atom_site_label
_atom_site_fract_x
_atom_site_fract_y
_atom_site_fract_z
Ac1 0.000 0.000 0.000
Ac2 0.333 0.667 0.656
Ac3 0.667 0.333 0.344
Pm1 0.000 0.000 0.500
P1 0.333 0.667 0.182
P2 0.667 0.333 0.818
N1 0.183 0.367 0.287
N2 0.183 0.817 0.287
N3 0.367 0.183 0.713
N4 0.633 0.817 0.287
N5 0.817 0.183 0.713
N6 0.817 0.633 0.713
# * final energy: -7.612 eV per atom
# * formation energy without anion corrections: -1124 meV per atom

---

[6]
# Mg2Br PBE-GGA optimized geometry
data_Mg2Br
_chemical_formula_sum 'Mg4 Br2'
_symmetry_space_group_name_H-M 'P 1'
_symmetry_Int_Tables_number 1
_cell_length_a 3.669
_cell_length_b 4.143
_cell_length_c 12.070
_cell_angle_alpha 89.14
_cell_angle_beta 89.94
_cell_angle_gamma 89.98
loop_
_symmetry_equiv_pos_as_xyz
'x,y,z'
loop_
_atom_site_label
_atom_site_fract_x
_atom_site_fract_y
_atom_site_fract_z
Mg1 0.000 0.000 0.000
Mg2 0.001 0.011 0.739
Mg3 0.500 0.506 0.853
Mg4 0.502 0.519 0.591
Br1 0.003 0.511 0.446
Br2 0.500 0.000 0.145
# * final energy: -2.136 eV per atom
# * formation energy without anion corrections: -515 meV per atom
# * polymorph energy (0 for the lowest one): 0 meV per atom

---

[7]
# BaCoRe4 PBE-GGA optimized geometry
data_BaCoRe4
_chemical_formula_sum 'Ba1 Co1 Re4'
_symmetry_space_group_name_H-M 'P 1'
_symmetry_Int_Tables_number 1
_cell_length_a 5.409
_cell_length_b 5.409
_cell_length_c 5.409
_cell_angle_alpha 60.00
_cell_angle_beta 60.00
_cell_angle_gamma 60.00
loop_
_symmetry_equiv_pos_as_xyz
'x,y,z'
loop_
_atom_site_label
_atom_site_fract_x
_atom_site_fract_y
_atom_site_fract_z
Ba1 0.000 0.000 0.000
Co1 0.750 0.750 0.750
Re1 0.376 0.376 0.376
Re2 0.376 0.376 0.873
Re3 0.376 0.873 0.376
Re4 0.873 0.376 0.376
# * final energy: -8.718 eV per atom
# * ΔH_f (0 K): 1.09 eV per atom

---

[8]
# KSb5 PBE-GGA optimized geometry
data_KSb5
_chemical_formula_sum 'K1 Sb5'
_symmetry_space_group_name_H-M 'P 1'
_symmetry_Int_Tables_number 1
_cell_length_a 7.678
_cell_length_b 7.678
_cell_length_c 4.031
_cell_angle_alpha 90.00
_cell_angle_beta 90.00
_cell_angle_gamma 120.00
loop_
_symmetry_equiv_pos_as_xyz
'x,y,z'
loop_
_atom_site_label
_atom_site_fract_x
_atom_site_fract_y
_atom_site_fract_z
K1 0.000 0.000 0.000
Sb1 0.000 0.588 0.500
Sb2 0.333 0.667 0.000
Sb3 0.412 0.412 0.500
Sb4 0.588 0.000 0.500
Sb5 0.667 0.333 0.000
# * final energy: -3.616 eV per atom
# * formation energy without anion corrections: 2 meV per atom
# * polymorph energy (0 for the lowest one): 16 meV per atom